The following is a DFT calculation (PBE) of a relaxed structure of Cs3PrI8.

Values from the calculation:
Formation energy from raw total energies, eV per atom: -1.1185
Size of the total moment, μB per atom: 0.001
Mass density, g/cm³: 3.9
Symmetry: I4/mmm (139)
E, eV/cell: -33.16
N(E_F), states/eV/atom: 1.58

Geometry as CIF:
```
data_Cs3PrI8
_chemical_formula_sum 'Cs3 Pr1 I8'
_cell_length_a 10.8452
_cell_length_b 10.8452
_cell_length_c 10.8452
_cell_angle_alpha 133.08
_cell_angle_beta 133.08
_cell_angle_gamma 68.53
_symmetry_space_group_name_H-M 'P 1'
_symmetry_Int_Tables_number 1
loop_
_symmetry_equiv_pos_as_xyz
'x,y,z'
loop_
_atom_site_label
_atom_site_type_symbol
_atom_site_fract_x
_atom_site_fract_y
_atom_site_fract_z
Cs1 Cs 0.0000 0.0000 0.0000
Cs2 Cs 0.2500 0.7500 0.5000
Cs3 Cs 0.7500 0.2500 0.5000
Pr1 Pr 0.5000 0.5000 0.0000
I1 I 0.1714 0.1714 0.5610
I2 I 0.1714 0.6104 0.0000
I3 I 0.3896 0.3896 0.5610
I4 I 0.3896 0.8286 0.0000
I5 I 0.6104 0.1714 0.0000
I6 I 0.6104 0.6104 0.4390
I7 I 0.8286 0.3896 0.0000
I8 I 0.8286 0.8286 0.4390
```

The following is a DFT calculation (PBE) of a relaxed structure of La5Tb3Pm2.

Values from the calculation:
Size of the total moment, μB per atom: 0.000
Energy of formation, eV/atom: 0.157
Mass density, g/cm³: 6.8
Symmetry: C2/c (15)
E, eV/cell: -92.92
N(E_F), states/eV/atom: 1.75

Geometry as CIF:
```
data_La5Tb3Pm2
_chemical_formula_sum 'La10 Tb6 Pm4'
_cell_length_a 9.2987
_cell_length_b 9.2987
_cell_length_c 10.2138
_cell_angle_alpha 108.72
_cell_angle_beta 108.72
_cell_angle_gamma 107.03
_symmetry_space_group_name_H-M 'P 1'
_symmetry_Int_Tables_number 1
loop_
_symmetry_equiv_pos_as_xyz
'x,y,z'
loop_
_atom_site_label
_atom_site_type_symbol
_atom_site_fract_x
_atom_site_fract_y
_atom_site_fract_z
La1 La 0.0173 0.9827 0.7500
La2 La 0.1230 0.3817 0.7528
La3 La 0.2245 0.7755 0.7500
La4 La 0.3817 0.1230 0.2528
La5 La 0.4747 0.5253 0.2500
La6 La 0.5253 0.4747 0.7500
La7 La 0.6183 0.8770 0.7472
La8 La 0.7755 0.2245 0.2500
La9 La 0.8770 0.6183 0.2472
La10 La 0.9827 0.0173 0.2500
Tb1 Tb 0.2233 0.4750 0.4446
Tb2 Tb 0.2688 0.7312 0.2500
Tb3 Tb 0.4750 0.2233 0.9446
Tb4 Tb 0.5250 0.7767 0.0554
Tb5 Tb 0.7312 0.2688 0.7500
Tb6 Tb 0.7767 0.5250 0.5554
Pm1 Pm 0.0278 0.2845 0.0616
Pm2 Pm 0.2845 0.0278 0.5616
Pm3 Pm 0.7155 0.9722 0.4384
Pm4 Pm 0.9722 0.7155 0.9384
```